11
Lattice="8.148 0.259 0.202 -3.802 7.211 0.202 -1.461 -2.511 7.100" Properties=species:S:1:pos:R:3 comment="Cs2Tl2SnCl6 (PBE-GGA, relaxed)" vol_a3_per_cell=432.3 total_energy_ev_per_cell=-36.413 m_tot_mub_per_fu=0.00 mass_density_g_cm3=3.864 raw_formation_energy_mev_per_atom=-1354 dos_ef_per_ev_atom=0.000 pbc="T T T"
Cs -0.405 3.555 3.752
Cs 3.291 1.405 3.752
Tl 6.100 1.451 0.202
Tl -1.754 6.020 0.202
Sn -0.730 -1.256 3.550
Cl 2.441 4.195 5.659
Cl -1.928 0.771 5.246
Cl 0.445 0.765 1.846
Cl 1.624 -1.295 5.246
Cl 4.814 4.188 2.259
Cl 1.262 6.255 2.259